No. 1
Below is an optimized crystal structure of TaPbS2, with properties calculated at the PBE-GGA level.

Geometry as POSCAR:
```
TaPbS2
1.0
1.679 0.969 8.985
-1.679 0.969 8.985
0.000 -1.939 8.985
Ta Pb S
1 1 2
direct
0.000 0.000 0.000
0.832 0.832 0.832
0.392 0.392 0.392
0.609 0.609 0.609
```

Output
space group: No. 160
ΔE_f (raw): -0.721 eV per atom


No. 2
Below is an optimized crystal structure of Nd2BPd6Au, with properties calculated at the PBE-GGA level.

Geometry as POSCAR:
```
Nd2BPd6Au
1.0
4.883 -2.899 0.000
4.883 2.899 0.000
-2.997 0.000 6.699
Nd B Pd Au
2 1 6 1
direct
0.245 0.245 0.318
0.755 0.755 0.682
0.500 0.500 0.000
0.171 0.687 0.144
0.291 0.291 0.768
0.313 0.829 0.856
0.687 0.171 0.144
0.709 0.709 0.232
0.829 0.313 0.856
0.000 0.000 0.500
```

Output
space group: No. 12
energy relative to the elements: -0.6219 eV/atom


Going through the records in order, we get density of states at the Fermi level values of 1.737, 4.447 states/eV/f.u..